## NdYGa2 (PBE)

Data for a relaxed structure of NdYGa2.

Lattice parameters (Å, degrees): 3.6388 3.6388 7.2679 90.00 90.00 90.00
Closest atoms and distances in Å follow each position.
Sites, in units of the cell vectors:
Y  0.5000  0.5000  0.0000  8 Ga 3.09
Nd  0.5000  0.5000  0.5000  8 Ga 3.21
Ga  0.0000  0.0000  0.7635  4 Y 3.09, 4 Nd 3.21, 1 Ga 3.44
Ga  0.0000  0.0000  0.2365  4 Y 3.09, 4 Nd 3.21, 1 Ga 3.44

Calculated values
The total magnetization comes out at 0.000 μB/atom. The value obtained for the uncorrected energy is -4.910 eV per atom. The formation energy is -2.35 eV per formula unit.